# CdIn (PBE-GGA, relaxed)
# * N(E_F): 1.47 states/eV/cell
# * theoretical density: 7359 kg/m³
# * ΔE_f: 0.051 eV/atom
# * M_tot: 0.00 Bohr magnetons per cell
data_CdIn
_chemical_formula_sum 'Cd2 In2'
_cell_length_a 3.770
_cell_length_b 5.389
_cell_length_c 5.047
_cell_angle_alpha 90.00
_cell_angle_beta 90.00
_cell_angle_gamma 90.00
_space_group_name_H-M_alt 'C m m m'
_space_group_IT_number 65
_space_group_name_Hall '-C 2 2'
loop_
_atom_site_label
_atom_site_fract_x
_atom_site_fract_y
_atom_site_fract_z
Cd1 0.000 0.000 0.000
In1 0.000 0.500 0.500